Density functional theory data (PBE) for TiNiIrRu after structural relaxation.

VASP energy ... -8.2590 eV/atom
Calculated formation energy ... -0.31 eV/atom
Energy above the most stable polymorph in this dataset ... 170 meV per atom

abc: 4.269 4.269 4.269
angles: 60.00 60.00 60.00
Fractional positions:
Ni 0.250 0.250 0.250
Ti 0.750 0.750 0.750
Ru 0.000 0.000 0.000
Ir 0.500 0.500 0.500